A plane-wave DFT calculation with PBE-GGA was carried out for a geometry-optimized InAsRh2 structure.

```
InAsRh2
1.0
4.755 0.000 0.001
0.819 4.684 -0.001
-2.398 -2.804 2.999
As Rh In
1 2 1
direct
0.750 0.250 0.500
0.959 0.959 0.000
0.541 0.541 0.000
0.250 0.750 0.500
```

Summary:
- Total DFT energy (no corrections): -5.734 eV per atom
- SG: Immm
- Mass density: 9.8 g/cm3



A plane-wave DFT calculation with PBE-GGA was carried out for a geometry-optimized InAs2Rh structure.

```
InAs2Rh
1.0
5.942 0.000 0.000
0.000 5.942 0.000
2.971 2.971 5.747
Rh In As
2 2 4
direct
0.250 0.750 0.500
0.500 0.500 0.000
0.750 0.250 0.500
0.000 0.000 0.000
0.177 0.625 0.250
0.573 0.125 0.250
0.875 0.823 0.750
0.375 0.427 0.750
```

Summary:
- Total DFT energy (no corrections): -4.928 eV per atom
- SG: I-42d
- Mass density: 6.0 g/cm3



A plane-wave DFT calculation with PBE-GGA was carried out for a geometry-optimized In3AsRh structure.

```
In3AsRh
1.0
5.105 0.000 0.000
0.000 5.105 0.000
0.000 0.000 5.105
In As Rh
3 1 1
direct
0.500 0.000 0.000
0.000 0.000 0.500
0.000 0.500 0.000
0.500 0.500 0.500
0.000 0.000 0.000
```

Summary:
- Total DFT energy (no corrections): -3.932 eV per atom
- Excess energy over the best structure of this formula in the dataset: 0 meV per atom
- SG: Pm-3m
- Mass density: 6.5 g/cm3



A plane-wave DFT calculation with PBE-GGA was carried out for a geometry-optimized InAs2Rh structure.

```
InAs2Rh
1.0
3.949 0.000 0.000
0.000 3.956 0.000
0.000 0.000 4.786
In As Rh
1 2 1
direct
0.500 0.000 0.500
0.500 0.500 0.000
0.000 0.000 0.000
0.000 0.500 0.500
```

Summary:
- Total DFT energy (no corrections): -4.741 eV per atom
- SG: P4/mmm
- Mass density: 8.2 g/cm3



A plane-wave DFT calculation with PBE-GGA was carried out for a geometry-optimized InAsRh3 structure.

```
InAsRh3
1.0
4.846 0.000 0.000
0.000 4.846 0.000
0.000 0.000 4.846
In As Rh
1 1 3
direct
0.000 0.000 0.000
0.500 0.500 0.500
0.000 0.000 0.500
0.000 0.500 0.000
0.500 0.000 0.000
```

Summary:
- Total DFT energy (no corrections): -4.522 eV per atom
- Excess energy over the best structure of this formula in the dataset: 1220 meV per atom
- SG: Pm-3m
- Mass density: 7.3 g/cm3



A plane-wave DFT calculation with PBE-GGA was carried out for a geometry-optimized InAsRh structure.

```
InAsRh
1.0
4.387 0.000 0.000
2.193 3.799 0.000
2.193 1.266 3.582
Rh In As
1 1 1
direct
0.750 0.750 0.750
0.500 0.500 0.500
0.000 0.000 0.000
```

Summary:
- Total DFT energy (no corrections): -5.161 eV per atom
- SG: F-43m
- Mass density: 8.1 g/cm3



A plane-wave DFT calculation with PBE-GGA was carried out for a geometry-optimized In2As2Rh structure.

```
In2As2Rh
1.0
6.283 0.000 0.000
0.000 6.283 0.000
0.000 0.000 5.641
As In Rh
4 4 2
direct
0.138 0.362 0.000
0.638 0.138 0.000
0.862 0.638 0.000
0.362 0.862 0.000
0.812 0.312 0.500
0.688 0.812 0.500
0.188 0.688 0.500
0.312 0.188 0.500
0.000 0.000 0.000
0.500 0.500 0.000
```

Summary:
- Total DFT energy (no corrections): -4.541 eV per atom
- SG: P4/mbm
- Mass density: 7.2 g/cm3



A plane-wave DFT calculation with PBE-GGA was carried out for a geometry-optimized InAsRh structure.

```
InAsRh
1.0
-2.715 0.471 -5.908
-5.986 -0.107 2.723
-2.614 5.748 -0.663
Rh In As
4 4 4
direct
0.530 0.974 0.192
0.054 0.585 0.063
0.477 0.449 0.933
0.934 0.988 0.804
0.673 0.330 0.275
0.175 0.358 0.733
0.129 0.153 0.313
0.375 0.860 0.674
0.838 0.651 0.770
0.873 0.853 0.232
0.616 0.163 0.766
0.333 0.635 0.244
```

Summary:
- Total DFT energy (no corrections): -5.206 eV per atom
- SG: P1
- Mass density: 8.0 g/cm3



A plane-wave DFT calculation with PBE-GGA was carried out for a geometry-optimized InAs2Rh structure.

```
InAs2Rh
1.0
4.723 0.000 0.000
2.361 4.090 0.000
2.361 1.363 3.856
As Rh In
2 1 1
direct
0.250 0.250 0.250
0.000 0.000 0.000
0.750 0.750 0.750
0.500 0.500 0.500
```

Summary:
- Total DFT energy (no corrections): -4.647 eV per atom
- SG: F-43m
- Mass density: 8.2 g/cm3



A plane-wave DFT calculation with PBE-GGA was carried out for a geometry-optimized InAsRh2 structure.

```
InAsRh2
1.0
-0.945 0.525 -5.813
4.958 -3.036 -1.080
-0.784 -5.826 -3.406
As In Rh
2 2 4
direct
0.500 0.500 0.000
0.250 0.750 0.500
0.000 0.000 0.000
0.750 0.250 0.500
0.875 0.831 0.750
0.375 0.419 0.750
0.581 0.125 0.250
0.169 0.625 0.250
```

Summary:
- Total DFT energy (no corrections): -5.435 eV per atom
- SG: I-42d
- Mass density: 7.0 g/cm3



A plane-wave DFT calculation with PBE-GGA was carried out for a geometry-optimized In3AsRh structure.

```
In3AsRh
1.0
5.239 0.000 0.000
0.000 5.239 0.000
0.000 0.000 5.239
Rh In As
1 3 1
direct
0.500 0.500 0.500
0.000 0.500 0.000
0.500 0.000 0.000
0.000 0.000 0.500
0.000 0.000 0.000
```

Summary:
- Total DFT energy (no corrections): -3.194 eV per atom
- Excess energy over the best structure of this formula in the dataset: 738 meV per atom
- SG: Pm-3m
- Mass density: 6.0 g/cm3



A plane-wave DFT calculation with PBE-GGA was carried out for a geometry-optimized InAs2Rh structure.

```
InAs2Rh
1.0
3.114 0.000 0.000
0.000 4.357 0.090
0.000 2.490 5.845
As Rh In
2 1 1
direct
0.000 0.979 0.929
0.500 0.278 0.261
0.500 0.597 0.845
0.000 0.645 0.465
```

Summary:
- Total DFT energy (no corrections): -4.890 eV per atom
- SG: Pm
- Mass density: 7.8 g/cm3



Q: Among the records above, which one has the highest total DFT energy (no corrections)?
A: number 11



Q: The highest total DFT energy (no corrections) belongs to which entry?
A: number 11